Record 1
# K2BaTe (GGA-PBEsol, relaxed)
data_K2BaTe
_chemical_formula_sum 'K6 Ba3 Te3'
_cell_length_a 5.2586
_cell_length_b 5.2586
_cell_length_c 28.0197
_cell_angle_alpha 90.00
_cell_angle_beta 90.00
_cell_angle_gamma 120.00
_space_group_name_H-M_alt 'R -3 m'
_space_group_IT_number 166
_space_group_name_Hall '-R 3 2"'
loop_
_atom_site_label
_atom_site_fract_x
_atom_site_fract_y
_atom_site_fract_z
K1 0.0000 0.0000 0.2154
Ba1 0.0000 0.0000 0.0000
Te1 0.0000 0.0000 0.5000
# Total energy, eV for the cell shown: -28.81
# Total magnetization, μB per cell: 0.00
# Mass density, Mg/m³: 2.5
# Volume, A^3/atom: 55.92



Record 2
# TePb (GGA-PBEsol, relaxed)
data_TePb
_chemical_formula_sum 'Te4 Pb4'
_cell_length_a 6.430
_cell_length_b 6.430
_cell_length_c 6.430
_cell_angle_alpha 90.00
_cell_angle_beta 90.00
_cell_angle_gamma 90.00
_space_group_name_H-M_alt 'F m -3 m'
_space_group_IT_number 225
_space_group_name_Hall '-F 4 2 3'
loop_
_atom_site_label
_atom_site_fract_x
_atom_site_fract_y
_atom_site_fract_z
Te1 0.000 0.000 0.000
Pb1 0.000 0.000 0.500
# Total energy, eV for the cell shown: -33.04
# Total magnetization, μB per cell: 0.00
# Mass density, Mg/m³: 8.4
# Volume, A^3/atom: 33.23



Record 3
# MgIrRu2 (GGA-PBEsol, relaxed)
data_MgIrRu2
_chemical_formula_sum 'Mg3 Ir3 Ru6'
_cell_length_a 2.7313
_cell_length_b 2.7313
_cell_length_c 26.4753
_cell_angle_alpha 90.00
_cell_angle_beta 90.00
_cell_angle_gamma 120.00
_space_group_name_H-M_alt 'R 3 m'
_space_group_IT_number 160
_space_group_name_Hall 'R 3 -2"'
loop_
_atom_site_label
_atom_site_fract_x
_atom_site_fract_y
_atom_site_fract_z
Mg1 0.0000 0.0000 0.0000
Ir1 0.0000 0.0000 0.2479
Ru1 0.0000 0.0000 0.4981
Ru2 0.0000 0.0000 0.7542
# Total energy, eV for the cell shown: -94.77
# Total magnetization, μB per cell: 0.00
# Mass density, Mg/m³: 12.2
# Volume, A^3/atom: 14.25



Record 4
# Co2HgC (GGA-PBEsol, relaxed)
data_Co2HgC
_chemical_formula_sum 'Co8 Hg4 C4'
_cell_length_a 5.752
_cell_length_b 5.752
_cell_length_c 5.752
_cell_angle_alpha 90.00
_cell_angle_beta 90.00
_cell_angle_gamma 90.00
_space_group_name_H-M_alt 'F m -3 m'
_space_group_IT_number 225
_space_group_name_Hall '-F 4 2 3'
loop_
_atom_site_label
_atom_site_fract_x
_atom_site_fract_y
_atom_site_fract_z
Co1 0.250 0.250 0.250
Hg1 0.000 0.000 0.000
C1 0.000 0.000 0.500
# Total energy, eV for the cell shown: -79.03
# Total magnetization, μB per cell: 9.56
# Mass density, Mg/m³: 11.5
# Volume, A^3/atom: 11.89



Record 5
# Rb7VSiO8 (GGA-PBEsol, relaxed)
data_Rb7VSiO8
_chemical_formula_sum 'Rb28 V4 Si4 O32'
_cell_length_a 6.374
_cell_length_b 10.301
_cell_length_c 20.635
_cell_angle_alpha 90.00
_cell_angle_beta 93.42
_cell_angle_gamma 90.00
_space_group_name_H-M_alt 'P 1 c 1'
_space_group_IT_number 7
_space_group_name_Hall 'P -2yc'
loop_
_atom_site_label
_atom_site_fract_x
_atom_site_fract_y
_atom_site_fract_z
Rb1 0.000 0.044 0.000
Rb2 0.002 0.362 0.340
Rb3 0.104 0.260 0.163
Rb4 0.114 0.413 0.991
Rb5 0.321 0.092 0.759
Rb6 0.335 0.252 0.590
Rb7 0.427 0.136 0.396
Rb8 0.441 0.453 0.734
Rb9 0.497 0.182 0.916
Rb10 0.627 0.425 0.068
Rb11 0.644 0.203 0.240
Rb12 0.803 0.282 0.508
Rb13 0.825 0.087 0.685
Rb14 0.933 0.306 0.822
V1 0.501 0.474 0.399
V2 0.508 0.091 0.078
Si1 0.935 0.408 0.666
Si2 0.938 0.031 0.345
O1 0.035 0.109 0.282
O2 0.041 0.470 0.601
O3 0.093 0.294 0.699
O4 0.109 0.081 0.873
O5 0.321 0.411 0.872
O6 0.347 0.212 0.045
O7 0.399 0.029 0.146
O8 0.405 0.390 0.464
O9 0.537 0.369 0.337
O10 0.540 0.030 0.522
O11 0.705 0.340 0.642
O12 0.713 0.039 0.818
O13 0.733 0.451 0.926
O14 0.749 0.159 0.101
O15 0.892 0.474 0.218
O16 0.898 0.135 0.404
# Total energy, eV for the cell shown: -399.13
# Total magnetization, μB per cell: 0.61
# Mass density, Mg/m³: 4.0
# Volume, A^3/atom: 19.89



Record 6
# Y3BeRh (GGA-PBEsol, relaxed)
data_Y3BeRh
_chemical_formula_sum 'Y3 Be1 Rh1'
_cell_length_a 5.213
_cell_length_b 5.213
_cell_length_c 5.213
_cell_angle_alpha 90.00
_cell_angle_beta 90.00
_cell_angle_gamma 90.00
_space_group_name_H-M_alt 'P m -3 m'
_space_group_IT_number 221
_space_group_name_Hall '-P 4 2 3'
loop_
_atom_site_label
_atom_site_fract_x
_atom_site_fract_y
_atom_site_fract_z
Y1 0.000 0.000 0.500
Be1 0.500 0.500 0.500
Rh1 0.000 0.000 0.000
# Total energy, eV for the cell shown: -31.66
# Total magnetization, μB per cell: 0.00
# Mass density, Mg/m³: 4.4
# Volume, A^3/atom: 28.33



Record 7
# CuBi2N (GGA-PBEsol, relaxed)
data_CuBi2N
_chemical_formula_sum 'Cu4 Bi8 N4'
_cell_length_a 5.731
_cell_length_b 5.731
_cell_length_c 10.938
_cell_angle_alpha 90.00
_cell_angle_beta 90.00
_cell_angle_gamma 90.00
_space_group_name_H-M_alt 'I -4 2 d'
_space_group_IT_number 122
_space_group_name_Hall 'I -4 2bw'
loop_
_atom_site_label
_atom_site_fract_x
_atom_site_fract_y
_atom_site_fract_z
Cu1 0.000 0.000 0.000
Bi1 0.215 0.250 0.625
N1 0.000 0.000 0.500
# Total energy, eV for the cell shown: -76.64
# Total magnetization, μB per cell: 0.00
# Mass density, Mg/m³: 9.2
# Volume, A^3/atom: 22.45



Record 8
# MnCrIrF2 (GGA-PBEsol, relaxed)
data_MnCrIrF2
_chemical_formula_sum 'Mn1 Cr1 Ir1 F2'
_cell_length_a 3.683
_cell_length_b 3.683
_cell_length_c 5.362
_cell_angle_alpha 90.00
_cell_angle_beta 90.00
_cell_angle_gamma 90.00
_space_group_name_H-M_alt 'P 4/m m m'
_space_group_IT_number 123
_space_group_name_Hall '-P 4 2'
loop_
_atom_site_label
_atom_site_fract_x
_atom_site_fract_y
_atom_site_fract_z
Mn1 0.000 0.000 0.000
Cr1 0.500 0.500 0.500
Ir1 0.000 0.000 0.500
F1 0.000 0.500 0.000
# Total energy, eV for the cell shown: -35.97
# Total magnetization, μB per cell: 7.18
# Mass density, Mg/m³: 7.7
# Volume, A^3/atom: 14.54



Record 9
# Ni4Mo (GGA-PBEsol, relaxed)
data_Ni4Mo
_chemical_formula_sum 'Ni8 Mo2'
_cell_length_a 5.649
_cell_length_b 5.649
_cell_length_c 3.509
_cell_angle_alpha 90.00
_cell_angle_beta 90.00
_cell_angle_gamma 90.00
_space_group_name_H-M_alt 'I 4/m'
_space_group_IT_number 87
_space_group_name_Hall '-I 4'
loop_
_atom_site_label
_atom_site_fract_x
_atom_site_fract_y
_atom_site_fract_z
Ni1 0.099 0.301 0.000
Mo1 0.000 0.000 0.500
# Total energy, eV for the cell shown: -73.87
# Total magnetization, μB per cell: 0.00
# Mass density, Mg/m³: 9.8
# Volume, A^3/atom: 11.20



Record 10
# MgCdSe4 (GGA-PBEsol, relaxed)
data_MgCdSe4
_chemical_formula_sum 'Mg4 Cd4 Se16'
_cell_length_a 8.112
_cell_length_b 8.112
_cell_length_c 8.112
_cell_angle_alpha 90.00
_cell_angle_beta 90.00
_cell_angle_gamma 90.00
_space_group_name_H-M_alt 'F -4 3 m'
_space_group_IT_number 216
_space_group_name_Hall 'F -4 2 3'
loop_
_atom_site_label
_atom_site_fract_x
_atom_site_fract_y
_atom_site_fract_z
Mg1 0.000 0.000 0.000
Cd1 0.250 0.250 0.250
Se1 0.124 0.124 0.624
# Total energy, eV for the cell shown: -67.56
# Total magnetization, μB per cell: 0.00
# Mass density, Mg/m³: 5.6
# Volume, A^3/atom: 22.25



Record 11
# LaCr2ReH (GGA-PBEsol, relaxed)
data_LaCr2ReH
_chemical_formula_sum 'La1 Cr2 Re1 H1'
_cell_length_a 4.836
_cell_length_b 4.836
_cell_length_c 4.835
_cell_angle_alpha 90.00
_cell_angle_beta 90.00
_cell_angle_gamma 90.00
_space_group_name_H-M_alt 'P 4/m m m'
_space_group_IT_number 123
_space_group_name_Hall '-P 4 2'
loop_
_atom_site_label
_atom_site_fract_x
_atom_site_fract_y
_atom_site_fract_z
La1 0.000 0.000 0.000
Cr1 0.000 0.500 0.000
Re1 0.000 0.000 0.500
H1 0.500 0.500 0.500
# Total energy, eV for the cell shown: -27.46
# Total magnetization, μB per cell: 6.11
# Mass density, Mg/m³: 6.3
# Volume, A^3/atom: 22.62



Record 12
# TiSi2Pd (GGA-PBEsol, relaxed)
data_TiSi2Pd
_chemical_formula_sum 'Ti4 Si8 Pd4'
_cell_length_a 3.849
_cell_length_b 3.849
_cell_length_c 17.045
_cell_angle_alpha 90.00
_cell_angle_beta 90.00
_cell_angle_gamma 90.00
_space_group_name_H-M_alt 'I -4 2 d'
_space_group_IT_number 122
_space_group_name_Hall 'I -4 2bw'
loop_
_atom_site_label
_atom_site_fract_x
_atom_site_fract_y
_atom_site_fract_z
Ti1 0.000 0.000 0.000
Si1 0.230 0.250 0.625
Pd1 0.000 0.000 0.500
# Total energy, eV for the cell shown: -106.61
# Total magnetization, μB per cell: 0.00
# Mass density, Mg/m³: 5.5
# Volume, A^3/atom: 15.78